No. 1
This record from the Alexandria database describes Y2TcOs3 after structural relaxation. The functional is GGA-PBE.

The structure in extended XYZ format:
```
6
Lattice="2.7164 1.5683 4.2847 -2.7164 1.5683 4.2847 0.0000 -3.1366 4.2847" Properties=species:S:1:pos:R:3 pbc="T T T"
Y 0.0000 0.0000 1.6042
Y 0.0000 0.0000 11.2499
Tc 0.0000 0.0000 6.4271
Os -1.3582 -0.7842 4.2847
Os -1.3582 0.7842 8.5694
Os 0.0000 1.5683 4.2847
```

Values from the calculation:
The total energy comes out at -9.7385 eV per atom. The space group is R-3m, No. 166. Its energy of formation is -0.2413 eV/atom.

=====

No. 2
This record from the Alexandria database describes Mn2BPW after structural relaxation. The functional is GGA-PBE.

The structure in extended XYZ format:
```
5
Lattice="4.1218 0.0000 0.0000 0.0000 4.1218 0.0000 0.0000 0.0000 3.7346" Properties=species:S:1:pos:R:3 pbc="T T T"
Mn 0.0000 2.0609 0.0000
Mn 2.0609 0.0000 0.0000
B 0.0000 0.0000 1.8673
P 0.0000 0.0000 0.0000
W 2.0609 2.0609 1.8673
```

Values from the calculation:
The total energy comes out at -7.4817 eV per atom. The space group is P4/mmm, No. 123. Its energy of formation is 1.1943 eV/atom.

=====

| no. | spin magnetization (μB per formula unit) |
| --- | --- |
| 1 | 0.000 |
| 2 | 0.004 |